Material: NaTaO2F2
Method: DFT, PBE-GGA
State: relaxed

Lattice parameters (Å, degrees): 6.3551 3.7443 7.1012 90.00 112.38 90.00
Closest atoms and distances in Å follow each position.
Space group P2_1 (No. 4)
One atom of each set of equivalent atoms:
Na1 0.1265 0.0000 0.2033  1 O 2.13, 5 F 2.21-2.33
Ta1 0.3575 0.0024 0.7759  1 O 1.75
O1 0.1798 0.0054 0.5179  1 Ta 1.75
O2 0.4083 0.5020 0.8634  2 Ta 1.96
F1 0.1091 0.0008 0.8864  1 Ta 2.01, 1 Na 2.21
F2 0.3502 0.5007 0.2581  1 Ta 1.96

Properties
Electronic total energy: -7.34 eV/atom